1.
PrCoRh | PBE | optimized geometry

Values from the calculation:
crystal system	tetragonal
symmetry	P4/mmm
E_form	0.038	eV/atom

The structure in extended XYZ format:
```
6
Lattice="4.795 0.000 0.000 -2.397 2.397 0.000 0.000 0.000 9.790" Properties=species:S:1:pos:R:3 pbc="T T T"
Co 2.397 0.931 0.000
Co 0.000 0.933 4.895
Rh 2.397 0.933 3.604
Rh 2.397 0.933 6.187
Pr 0.000 0.932 8.002
Pr 0.000 0.932 1.789
```


2.
Pr3CoRh | PBE | optimized geometry

Values from the calculation:
crystal system	monoclinic
symmetry	P2_1/m
E_form	-0.299	eV/atom
E above lowest polymorph	0	meV/atom

The structure in extended XYZ format:
```
10
Lattice="-0.026 -3.786 -1.281 8.271 -0.549 1.455 -4.652 -2.161 6.485" Properties=species:S:1:pos:R:3 pbc="T T T"
Pr 3.333 -4.055 2.563
Pr 0.260 -2.442 4.096
Pr -1.774 -5.038 5.575
Pr 3.996 -3.131 6.057
Pr 5.367 -1.459 1.084
Pr -0.403 -3.366 0.602
Co 5.778 -2.425 3.932
Co -2.185 -4.072 2.727
Rh 1.815 -1.599 1.573
Rh 1.778 -4.897 5.086
```


3.
PrSmCoRh | PBE | optimized geometry

Values from the calculation:
crystal system	cubic
symmetry	F-43m
E_form	-0.296	eV/atom

The structure in extended XYZ format:
```
4
Lattice="4.956 0.000 0.000 2.478 4.292 0.000 2.478 1.431 4.047" Properties=species:S:1:pos:R:3 pbc="T T T"
Pr 2.478 1.431 1.012
Co 4.956 2.862 2.023
Rh 0.000 0.000 0.000
Sm 7.434 4.292 3.035
```


4.
TbPrCoRh | PBE | optimized geometry

Values from the calculation:
crystal system	cubic
symmetry	F-43m
E_form	-0.342	eV/atom

The structure in extended XYZ format:
```
4
Lattice="4.914 0.000 0.000 2.457 4.256 0.000 2.457 1.419 4.013" Properties=species:S:1:pos:R:3 pbc="T T T"
Pr 2.457 1.419 1.003
Rh 0.000 0.000 0.000
Tb 7.372 4.256 3.009
Co 4.914 2.837 2.006
```


5.
Pr2Th2CoRh2 | PBE | optimized geometry

Values from the calculation:
crystal system	monoclinic
symmetry	C2/m
E_form	-0.453	eV/atom

The structure in extended XYZ format:
```
7
Lattice="4.001 0.000 0.000 0.000 7.586 0.542 1.998 3.725 6.352" Properties=species:S:1:pos:R:3 pbc="T T T"
Pr 3.996 5.748 6.154
Pr 2.004 5.564 0.740
Th 1.999 3.352 3.736
Th 4.000 7.959 3.158
Co 0.000 0.000 0.000
Rh 2.000 8.092 5.073
Rh 3.999 3.220 1.821
```


6.
PrTmCoRh | PBE | optimized geometry

Values from the calculation:
crystal system	cubic
symmetry	F-43m
E_form	-0.378	eV/atom

The structure in extended XYZ format:
```
4
Lattice="4.870 0.000 0.000 2.435 4.217 0.000 2.435 1.406 3.976" Properties=species:S:1:pos:R:3 pbc="T T T"
Pr 7.305 4.217 2.982
Co 4.870 2.812 1.988
Tm 2.435 1.406 0.994
Rh 0.000 0.000 0.000
```


7.
PrYCoRh | PBE | optimized geometry

Values from the calculation:
crystal system	cubic
symmetry	F-43m
E_form	-0.341	eV/atom

The structure in extended XYZ format:
```
4
Lattice="-3.716 -2.315 2.231 0.330 -1.153 4.764 -2.751 2.382 3.301" Properties=species:S:1:pos:R:3 pbc="T T T"
Pr -1.534 -0.271 2.574
Y -4.602 -0.814 7.722
Rh 0.000 0.000 0.000
Co -3.068 -0.543 5.148
```


8.
PrCoRu | PBE | optimized geometry

Values from the calculation:
crystal system	orthorhombic
symmetry	Imma
E_form	-0.061	eV/atom
E above lowest polymorph	0	meV/atom

The structure in extended XYZ format:
```
6
Lattice="-2.089 -2.405 4.324 3.147 -1.345 4.107 -0.253 2.605 4.662" Properties=species:S:1:pos:R:3 pbc="T T T"
Pr -0.730 -1.623 7.083
Pr 1.535 0.478 6.011
Co 0.000 0.000 0.000
Co -1.044 -1.203 2.162
Ru 0.529 -1.875 4.216
Ru -1.171 0.100 4.493
```


9.
Pr5Co4Ru | PBE | optimized geometry

Values from the calculation:
crystal system	monoclinic
symmetry	C2/m
E_form	-0.002	eV/atom

The structure in extended XYZ format:
```
10
Lattice="3.967 0.000 -0.828 -0.654 6.934 -3.132 -0.180 -0.315 9.057" Properties=species:S:1:pos:R:3 pbc="T T T"
Pr 0.259 1.597 1.243
Pr 0.241 5.298 1.155
Pr 2.893 1.321 3.943
Pr 1.657 3.467 -1.980
Pr 2.874 5.023 3.855
Co 1.832 6.282 -1.137
Co 3.468 0.817 6.700
Co 1.301 0.337 6.235
Co -0.334 5.802 -1.602
Ru 1.983 0.000 -0.414
```


10.
Pr3CoRu | PBE | optimized geometry

Values from the calculation:
crystal system	triclinic
symmetry	P-1
E_form	-0.053	eV/atom

The structure in extended XYZ format:
```
10
Lattice="-0.509 0.279 3.895 -7.168 -2.706 -2.718 2.139 -7.966 0.863" Properties=species:S:1:pos:R:3 pbc="T T T"
Pr -0.600 -3.534 0.119
Pr -5.120 -7.409 -0.191
Pr -0.643 -6.747 2.346
Pr -7.303 -2.657 1.174
Pr -3.961 -1.622 -0.458
Pr -3.941 -4.567 1.751
Co -2.383 -6.654 0.118
Co -3.380 -7.501 2.038
Ru -5.933 -4.526 -0.502
Ru -1.969 -1.664 1.795
```


11.
Pr8CoRu2 | PBE | optimized geometry

Values from the calculation:
crystal system	monoclinic
symmetry	C2/m
E_form	-0.084	eV/atom

The structure in extended XYZ format:
```
11
Lattice="3.878 0.000 -0.824 -0.151 8.935 -0.711 0.012 -0.078 9.596" Properties=species:S:1:pos:R:3 pbc="T T T"
Pr 2.243 4.832 1.017
Pr 1.344 0.221 6.328
Pr 0.809 2.917 3.809
Pr 3.751 7.026 8.120
Pr 2.930 5.940 4.252
Pr 2.395 8.636 1.734
Pr 1.496 4.025 7.044
Pr -0.012 1.831 -0.058
Co 1.939 0.000 -0.412
Ru 0.555 6.515 2.613
Ru 3.184 2.342 5.448
```


12.
Pr6CoRu | PBE | optimized geometry

Values from the calculation:
crystal system	trigonal
symmetry	P-31m
E_form	-0.087	eV/atom

The structure in extended XYZ format:
```
8
Lattice="6.219 -0.024 -0.015 0.031 5.892 3.394 0.016 0.006 6.800" Properties=species:S:1:pos:R:3 pbc="T T T"
Pr 4.672 3.963 4.771
Pr 1.596 2.156 5.831
Pr 1.580 0.118 2.557
Pr 1.595 3.973 2.429
Pr 4.657 0.108 4.651
Pr 4.657 2.140 1.373
Co 3.110 0.110 0.204
Ru 0.001 0.122 0.211
```


Number 1: electronic total energy -0.4685 Ry/atom. Number 2: electronic total energy -0.4452 Ry/atom. Number 3: electronic total energy -0.4620 Ry/atom. Number 4: electronic total energy -0.4637 Ry/atom. Number 5: electronic total energy -0.5185 Ry/atom. Number 6: electronic total energy -0.4634 Ry/atom. Number 7: electronic total energy -0.4973 Ry/atom. Number 8: electronic total energy -0.5229 Ry/atom. Number 9: electronic total energy -0.4529 Ry/atom. Number 10: electronic total energy -0.4555 Ry/atom. Number 11: electronic total energy -0.4331 Ry/atom. Number 12: electronic total energy -0.4204 Ry/atom.